Compound: AlZnB3
Source: the Alexandria database
Functional: PBE-GGA
Structure: relaxed

Results
**Total moment**: 0.000 μB per atom
**Space-group type**: Pm-3m
**Energy above the most stable polymorph in this dataset**: 40 meV/atom
**ΔH_f (0 K)**: 9.14 eV/f.u.

```
AlZnB3
1.0
-4.033 -0.110 0.322
0.328 -2.290 3.322
0.092 3.336 2.290
Zn B Al
1 3 1
direct
0.000 0.000 0.000 Zn
0.000 0.000 0.500 B
0.500 0.000 0.000 B
0.000 0.500 0.000 B
0.500 0.500 0.500 Al
```